[1]
# LaYHoIn (PBE, optimized geometry)
data_LaYHoIn
_cell_length_a 5.5489
_cell_length_b 5.5489
_cell_length_c 5.5489
_cell_angle_alpha 60.00
_cell_angle_beta 60.00
_cell_angle_gamma 60.00
_symmetry_space_group_name_H-M 'P 1'
_symmetry_Int_Tables_number 1
_symmetry_space_group_name_Hall 'P 1'
loop_
_atom_site_label
_atom_site_type_symbol
_atom_site_fract_x
_atom_site_fract_y
_atom_site_fract_z
La1 La 0.0000 0.0000 0.0000
Y1 Y 0.5000 0.5000 0.5000
Ho1 Ho 0.7500 0.7500 0.7500
In1 In 0.2500 0.2500 0.2500
# * offset from the most stable computed form: 0.000 eV per atom
# * N(E_F): 5.7 states/eV/f.u.

[2]
# LaHoZnIn (PBE, optimized geometry)
data_LaHoZnIn
_cell_length_a 5.3456
_cell_length_b 5.3456
_cell_length_c 5.3456
_cell_angle_alpha 60.00
_cell_angle_beta 60.00
_cell_angle_gamma 60.00
_symmetry_space_group_name_H-M 'P 1'
_symmetry_Int_Tables_number 1
_symmetry_space_group_name_Hall 'P 1'
loop_
_atom_site_label
_atom_site_type_symbol
_atom_site_fract_x
_atom_site_fract_y
_atom_site_fract_z
La1 La 0.0000 0.0000 0.0000
Ho1 Ho 0.5000 0.5000 0.5000
Zn1 Zn 0.7500 0.7500 0.7500
In1 In 0.2500 0.2500 0.2500
# * offset from the most stable computed form: 0.027 eV per atom
# * N(E_F): 4.4 states/eV/f.u.

[3]
# LaHoZn2In2 (PBE, optimized geometry)
data_LaHoZn2In2
_cell_length_a 4.7152
_cell_length_b 4.7152
_cell_length_c 7.5929
_cell_angle_alpha 90.00
_cell_angle_beta 90.00
_cell_angle_gamma 120.00
_symmetry_space_group_name_H-M 'P 1'
_symmetry_Int_Tables_number 1
_symmetry_space_group_name_Hall 'P 1'
loop_
_atom_site_label
_atom_site_type_symbol
_atom_site_fract_x
_atom_site_fract_y
_atom_site_fract_z
La1 La 0.0000 0.0000 0.0000
Ho1 Ho 0.0000 0.0000 0.5000
Zn1 Zn 0.3333 0.6667 0.2922
Zn2 Zn 0.6667 0.3333 0.7078
In1 In 0.3333 0.6667 0.7306
In2 In 0.6667 0.3333 0.2694
# * N(E_F): 3.7 states/eV/f.u.

How do the records compare in ΔE_f? In the order shown, they have -0.164; -0.386; -0.456 eV per atom.
How do the records compare in E? In the order shown, they have -4.841; -3.765; -3.378 eV per atom.